No. 1
Below is a relaxed LaSm3Y5 crystal, with properties calculated at the GGA-PBE level.

It has space group P6_3/mcm (No. 193), with a = 9.8607 Å, b = 9.8607 Å, c = 7.1020 Å, α = 90.00°, β = 90.00° and γ = 120.00°. The asymmetric unit holds La at (0.0000, 0.0000, 0.0000), Sm at (0.0000, 0.3408, 0.2500), Y at (0.0000, 0.3315, 0.7500) and Y at (0.3333, 0.6667, 0.0000).

The value obtained for the formation energy is 0.059 eV per atom.


No. 2
Below is a relaxed La3Sm5Y4 crystal, with properties calculated at the GGA-PBE level.

It has space group P-1 (No. 2), with a = 6.314 Å, b = 7.262 Å, c = 8.925 Å, α = 90.01°, β = 90.11° and γ = 90.05°. The asymmetric unit holds La at (0.000, 0.000, 0.000), La at (0.166, 0.750, 0.667), Sm at (0.000, 0.500, 0.000), Sm at (0.335, 0.001, 0.334), Sm at (0.499, 0.252, 0.001), Y at (0.169, 0.251, 0.666) and Y at (0.333, 0.501, 0.333).

The value obtained for the formation energy is 0.020 eV per atom.


No. 3
Below is a relaxed LaSmY crystal, with properties calculated at the GGA-PBE level.

It has space group Cmcm (No. 63), with a = 5.158 Å, b = 15.484 Å, c = 5.179 Å, α = 90.00°, β = 90.00° and γ = 90.00°. The asymmetric unit holds La at (0.000, 0.083, 0.250), Sm at (0.000, 0.415, 0.250) and Y at (0.000, 0.249, 0.750).

The value obtained for the formation energy is 0.028 eV per atom.


No. 4
Below is a relaxed La4Sm10Y crystal, with properties calculated at the GGA-PBE level.

It has space group I4/m (No. 87), with a = 9.968 Å, b = 9.968 Å, c = 10.672 Å, α = 90.00°, β = 90.00° and γ = 90.00°. The asymmetric unit holds La at (0.060, 0.669, 0.000), Sm at (0.000, 0.500, 0.250), Sm at (0.115, 0.794, 0.339) and Y at (0.000, 0.000, 0.000).

The value obtained for the formation energy is 0.317 eV per atom.


No. 5
Below is a relaxed La5SmY crystal, with properties calculated at the GGA-PBE level.

It has space group C2/c (No. 15), with a = 16.736 Å, b = 6.795 Å, c = 11.102 Å, α = 90.00°, β = 126.36° and γ = 90.00°. The asymmetric unit holds La at (0.000, 0.008, 0.250), La at (0.090, 0.252, 0.591), La at (0.175, 0.253, 0.092), Sm at (0.250, 0.250, 0.500) and Y at (0.000, 0.488, 0.250).

The value obtained for the formation energy is 0.127 eV per atom.


No. 6
Below is a relaxed La6SmY8 crystal, with properties calculated at the GGA-PBE level.

It has space group R-3 (No. 148, hexagonal axes), with a = 9.1540 Å, b = 9.1540 Å, c = 21.4674 Å, α = 90.00°, β = 90.00° and γ = 120.00°. The asymmetric unit holds La at (0.0514, 0.2476, 0.2128), Sm at (0.0000, 0.0000, 0.5000), Y at (0.0000, 0.0000, 0.0773) and Y at (0.0804, 0.5738, 0.3057).

The value obtained for the formation energy is 0.111 eV per atom.


No. 7
Below is a relaxed La4Sm5Y crystal, with properties calculated at the GGA-PBE level.

It has space group C2/m (No. 12), with a = 11.942 Å, b = 5.649 Å, c = 10.626 Å, α = 90.00°, β = 90.19° and γ = 90.00°. The asymmetric unit holds La at (0.046, 0.000, 0.249), La at (0.183, 0.500, 0.750), Sm at (0.000, 0.500, 0.500), Sm at (0.196, 0.000, 0.564), Sm at (0.196, 0.000, 0.936) and Y at (0.000, 0.500, 0.000).

The value obtained for the formation energy is 0.158 eV per atom.


No. 8
Below is a relaxed LaSm3Y6 crystal, with properties calculated at the GGA-PBE level.

It has space group Cmc2_1 (No. 36), with a = 11.057 Å, b = 18.965 Å, c = 6.404 Å, α = 90.00°, β = 90.00° and γ = 90.00°. The asymmetric unit holds La at (0.000, 0.191, 0.000), Sm at (0.000, 0.388, 0.921), Sm at (0.181, 0.112, 0.313), Y at (0.000, 0.041, 0.719), Y at (0.000, 0.268, 0.517), Y at (0.166, 0.455, 0.396) and Y at (0.236, 0.292, 0.221).

The value obtained for the formation energy is 0.146 eV per atom.


No. 9
Below is a relaxed La7SmY12 crystal, with properties calculated at the GGA-PBE level.

It has space group R-3 (No. 148, hexagonal axes), with a = 12.1630 Å, b = 12.1630 Å, c = 16.4489 Å, α = 90.00°, β = 90.00° and γ = 120.00°. The asymmetric unit holds La at (0.0000, 0.0000, 0.0000), La at (0.0513, 0.1813, 0.2874), Sm at (0.0000, 0.0000, 0.5000), Y at (0.0258, 0.4474, 0.2209) and Y at (0.0528, 0.5861, 0.5838).

The value obtained for the formation energy is 0.221 eV per atom.


No. 10
Below is a relaxed La3Sm2Y2 crystal, with properties calculated at the GGA-PBE level.

It has space group C2/m (No. 12), with a = 17.929 Å, b = 3.561 Å, c = 8.714 Å, α = 90.00°, β = 118.68° and γ = 90.00°. The asymmetric unit holds La at (0.000, 0.000, 0.000), La at (0.213, 0.000, 0.297), Sm at (0.065, 0.500, 0.411) and Y at (0.145, 0.000, 0.828).

The value obtained for the formation energy is 0.104 eV per atom.


No. 11
Below is a relaxed La7Sm2Y crystal, with properties calculated at the GGA-PBE level.

It has space group Cmmm (No. 65), with a = 12.183 Å, b = 17.165 Å, c = 3.575 Å, α = 90.00°, β = 90.00° and γ = 90.00°. The asymmetric unit holds La at (0.000, 0.000, 0.000), La at (0.000, 0.181, 0.500), La at (0.246, 0.129, 0.000), Sm at (0.000, 0.332, 0.000) and Y at (0.000, 0.500, 0.500).

The value obtained for the formation energy is 0.316 eV per atom.


No. 12
Below is a relaxed La2Sm8Y crystal, with properties calculated at the GGA-PBE level.

It has space group C2/m (No. 12), with a = 18.581 Å, b = 5.163 Å, c = 8.155 Å, α = 90.00°, β = 105.32° and γ = 90.00°. The asymmetric unit holds La at (0.227, 0.000, 0.137), Sm at (0.044, 0.000, 0.228), Sm at (0.090, 0.500, 0.953), Sm at (0.135, 0.000, 0.677), Sm at (0.181, 0.500, 0.408) and Y at (0.000, 0.500, 0.500).

The value obtained for the formation energy is 0.019 eV per atom.